Record 1
DFT (GGA-PBE) results for Na2PrDyO4 after structural relaxation.

abc: 4.6724 4.6724 10.5404
angles: 90.00 90.00 90.00
Space group I-4m2 (No. 119)
Unique sites:
Na  0.0000  0.0000  0.0000 (multiplicity 2)
Na  0.0000  0.5000  0.2500 (multiplicity 2)
Pr  0.0000  0.0000  0.5000 (multiplicity 2)
Dy  0.0000  0.5000  0.7500 (multiplicity 2)
O  0.0000  0.0000  0.2686 (multiplicity 4)
O  0.0000  0.5000  0.5358 (multiplicity 4)

---

Record 2
DFT (GGA-PBE) results for NaDyRe2O8 after structural relaxation.

abc: 5.1813 5.1813 11.1008
angles: 90.00 90.00 90.00
Space group I-4 (No. 82)
Unique sites:
Na  0.0000  0.0000  0.0000 (multiplicity 2)
Dy  0.0000  0.5000  0.2500 (multiplicity 2)
Re  0.0000  0.0000  0.5000 (multiplicity 2)
Re  0.0000  0.5000  0.7500 (multiplicity 2)
O  0.1603  0.7531  0.4122 (multiplicity 8)
O  0.1735  0.2501  0.8310 (multiplicity 8)

---

Record 3
DFT (GGA-PBE) results for NaDySO after structural relaxation.

abc: 5.5416 5.5388 10.4194
angles: 90.00 104.78 90.00
Space group P2_1 (No. 4)
Unique sites:
Na  0.0421  0.0000  0.0955 (multiplicity 2)
Na  0.4487  0.9961  0.9048 (multiplicity 2)
Dy  0.0533  0.2562  0.6087 (multiplicity 2)
Dy  0.4466  0.2566  0.3913 (multiplicity 2)
S  0.0902  0.4990  0.1846 (multiplicity 2)
S  0.4134  0.4966  0.8154 (multiplicity 2)
O  0.2501  0.0071  0.4999 (multiplicity 2)
O  0.2500  0.5074  0.5001 (multiplicity 2)

As for the energy above the most stable polymorph in this dataset: 1 meV/atom.

---

Record 4
DFT (GGA-PBE) results for NaDySO after structural relaxation.

abc: 6.8504 8.9574 5.5051
angles: 90.00 90.00 90.00
Space group Pca2_1 (No. 29)
Unique sites:
Na  0.1155  0.0722  0.0000 (multiplicity 4)
Dy  0.0386  0.6649  0.0642 (multiplicity 4)
S  0.0669  0.6371  0.5665 (multiplicity 4)
O  0.0686  0.1298  0.5876 (multiplicity 4)

As for the energy above the most stable polymorph in this dataset: 251 meV/atom.

---

Number 1: raw total energy -6.672 eV/atom, V 14.382 Å³ per atom. Number 2: raw total energy -7.829 eV/atom, V 12.417 Å³ per atom. Number 3: raw total energy -6.068 eV/atom, V 19.327 Å³ per atom. Number 4: raw total energy -5.818 eV/atom, V 21.113 Å³ per atom.